Record 1
NaRhPb4: relaxed, PBE.

a = 9.0906 Å, b = 9.0906 Å, c = 5.7205 Å
α = 107.66°, β = 107.66°, γ = 53.60°
Atoms (fractional coordinates):
Na  0.1904  0.1904  0.1966
Na  0.8096  0.8096  0.8034
Rh  0.5001  0.5001  0.2532
Rh  0.4999  0.4999  0.7468
Pb  0.1643  0.6016  0.3866
Pb  0.2041  0.7959  0.0000
Pb  0.3334  0.3334  0.8388
Pb  0.3984  0.8357  0.6134
Pb  0.6016  0.1643  0.3866
Pb  0.6666  0.6666  0.1612
Pb  0.7959  0.2041  0.0000
Pb  0.8357  0.3984  0.6134

E ... -48.3 eV/cell

---

Record 2
NaRhPb2: relaxed, PBE.

a = 4.5402 Å, b = 4.5402 Å, c = 17.1932 Å
α = 90.00°, β = 90.00°, γ = 120.00°
Atoms (fractional coordinates):
Na  0.0000  0.0000  0.0000
Na  0.3333  0.6667  0.6667
Na  0.6667  0.3333  0.3333
Rh  0.0000  0.0000  0.1787
Rh  0.3333  0.6667  0.8454
Rh  0.6667  0.3333  0.5121
Pb  0.0000  0.0000  0.5662
Pb  0.0000  0.0000  0.7786
Pb  0.3333  0.6667  0.2329
Pb  0.3333  0.6667  0.4453
Pb  0.6667  0.3333  0.1120
Pb  0.6667  0.3333  0.8995

E ... -49.1 eV/cell

---

Record 3
NaRh2Pb2: relaxed, PBE.

a = 4.7831 Å, b = 4.7831 Å, c = 10.4512 Å
α = 90.00°, β = 90.00°, γ = 90.00°
Atoms (fractional coordinates):
Na  0.0000  0.0000  0.0000
Na  0.5000  0.5000  0.5000
Rh  0.0000  0.0000  0.3815
Rh  0.0000  0.0000  0.6185
Rh  0.5000  0.5000  0.1185
Rh  0.5000  0.5000  0.8815
Pb  0.0000  0.5000  0.2500
Pb  0.0000  0.5000  0.7500
Pb  0.5000  0.0000  0.2500
Pb  0.5000  0.0000  0.7500

Polymorph energy (0 for the lowest one) ... 0.745 eV per formula unit
E ... -46.1 eV/cell

---

Record 4
NaRh2Pb8: relaxed, PBE.

a = 7.8132 Å, b = 7.8132 Å, c = 5.3802 Å
α = 94.92°, β = 94.92°, γ = 110.84°
Atoms (fractional coordinates):
Na  0.0000  0.0000  0.0000
Rh  0.3178  0.6822  0.5000
Rh  0.6822  0.3178  0.5000
Pb  0.0684  0.3343  0.6159
Pb  0.2600  0.7400  0.0000
Pb  0.3343  0.0684  0.6159
Pb  0.3847  0.3847  0.2118
Pb  0.6153  0.6153  0.7882
Pb  0.6657  0.9316  0.3841
Pb  0.7400  0.2600  0.0000
Pb  0.9316  0.6657  0.3841

Polymorph energy (0 for the lowest one) ... 0.000 eV per formula unit
E ... -46.1 eV/cell

---

Record 5
NaRhPb2: relaxed, PBE.

a = 8.5762 Å, b = 8.5762 Å, c = 5.9977 Å
α = 90.00°, β = 90.00°, γ = 90.00°
Atoms (fractional coordinates):
Na  0.0000  0.0000  0.0000
Na  0.0000  0.5000  0.2500
Na  0.5000  0.0000  0.7500
Na  0.5000  0.5000  0.5000
Rh  0.0000  0.0000  0.5000
Rh  0.0000  0.5000  0.7500
Rh  0.5000  0.0000  0.2500
Rh  0.5000  0.5000  0.0000
Pb  0.1684  0.2500  0.6250
Pb  0.2500  0.6684  0.8750
Pb  0.2500  0.8316  0.3750
Pb  0.3316  0.2500  0.1250
Pb  0.6684  0.7500  0.1250
Pb  0.7500  0.1684  0.3750
Pb  0.7500  0.3316  0.8750
Pb  0.8316  0.7500  0.6250

E ... -63.4 eV/cell

---

Record 6
NaRhPb: relaxed, PBE.

a = 4.7420 Å, b = 4.7420 Å, c = 3.2787 Å
α = 90.00°, β = 90.00°, γ = 120.00°
Atoms (fractional coordinates):
Na  0.0000  0.0000  0.0000
Rh  0.3333  0.6667  0.5022
Pb  0.6667  0.3333  0.4990

E ... -12.2 eV/cell

---

Record 7
Na3Rh4Pb4: relaxed, PBE.

a = 7.1018 Å, b = 7.1018 Å, c = 7.1018 Å
α = 109.47°, β = 109.47°, γ = 109.47°
Atoms (fractional coordinates):
Na  0.0000  0.5000  0.5000
Na  0.5000  0.0000  0.5000
Na  0.5000  0.5000  0.0000
Rh  0.0000  0.0000  0.7567
Rh  0.0000  0.7567  0.0000
Rh  0.2433  0.2433  0.2433
Rh  0.7567  0.0000  0.0000
Pb  0.0000  0.0000  0.3899
Pb  0.0000  0.3899  0.0000
Pb  0.3899  0.0000  0.0000
Pb  0.6101  0.6101  0.6101

E ... -49.5 eV/cell

---

Record 8
NaSbRh2Pb: relaxed, PBE.

a = 4.8117 Å, b = 4.8117 Å, c = 4.9425 Å
α = 90.00°, β = 90.00°, γ = 90.00°
Atoms (fractional coordinates):
Na  0.0000  0.0000  0.0000
Sb  0.5000  0.5000  0.5000
Rh  0.0000  0.5000  0.0000
Rh  0.5000  0.0000  0.0000
Pb  0.0000  0.0000  0.5000

E ... -18.0 eV/cell
Uncorrected formation energy ... 112 kJ/mol of atoms

---

Record 9
NaSmRhPb: relaxed, PBE.

a = 7.0432 Å, b = 7.0432 Å, c = 7.0432 Å
α = 90.00°, β = 90.00°, γ = 90.00°
Atoms (fractional coordinates):
Na  0.0000  0.0000  0.0000
Na  0.0000  0.5000  0.5000
Na  0.5000  0.0000  0.5000
Na  0.5000  0.5000  0.0000
Sm  0.2500  0.2500  0.7500
Sm  0.2500  0.7500  0.2500
Sm  0.7500  0.2500  0.2500
Sm  0.7500  0.7500  0.7500
Rh  0.0000  0.0000  0.5000
Rh  0.0000  0.5000  0.0000
Rh  0.5000  0.0000  0.0000
Rh  0.5000  0.5000  0.5000
Pb  0.2500  0.2500  0.2500
Pb  0.2500  0.7500  0.7500
Pb  0.7500  0.2500  0.7500
Pb  0.7500  0.7500  0.2500

E ... -73.2 eV/cell

---

Record 10
NaSrRhPb2: relaxed, PBE.

a = 5.3819 Å, b = 5.3819 Å, c = 5.6058 Å
α = 90.00°, β = 90.00°, γ = 90.00°
Atoms (fractional coordinates):
Na  0.0000  0.0000  0.0000
Sr  0.5000  0.5000  0.0000
Rh  0.5000  0.5000  0.5000
Pb  0.0000  0.5000  0.5000
Pb  0.5000  0.0000  0.5000

Polymorph energy (0 for the lowest one) ... 0.000 eV per formula unit
E ... -18.5 eV/cell

---

Record 11
NaSrRhPb2: relaxed, PBE.

a = 5.3174 Å, b = 5.3174 Å, c = 5.3246 Å
α = 90.00°, β = 90.00°, γ = 90.00°
Atoms (fractional coordinates):
Na  0.0000  0.0000  0.0000
Sr  0.5000  0.5000  0.0000
Rh  0.0000  0.0000  0.5000
Pb  0.0000  0.5000  0.5000
Pb  0.5000  0.0000  0.5000

Polymorph energy (0 for the lowest one) ... 0.097 eV per formula unit
E ... -18.4 eV/cell

---

Record 12
NaTbRhPb: relaxed, PBE.

a = 6.9845 Å, b = 6.9845 Å, c = 6.9845 Å
α = 90.00°, β = 90.00°, γ = 90.00°
Atoms (fractional coordinates):
Na  0.0000  0.0000  0.0000
Na  0.0000  0.5000  0.5000
Na  0.5000  0.0000  0.5000
Na  0.5000  0.5000  0.0000
Tb  0.2500  0.2500  0.7500
Tb  0.2500  0.7500  0.2500
Tb  0.7500  0.2500  0.2500
Tb  0.7500  0.7500  0.7500
Rh  0.0000  0.0000  0.5000
Rh  0.0000  0.5000  0.0000
Rh  0.5000  0.0000  0.0000
Rh  0.5000  0.5000  0.5000
Pb  0.2500  0.2500  0.2500
Pb  0.2500  0.7500  0.7500
Pb  0.7500  0.2500  0.7500
Pb  0.7500  0.7500  0.2500

E ... -73.0 eV/cell

---

Look up the E of the tenth one.
-18.5 eV/cell

---

What is the E in the eighth record?
-18.0 eV/cell

---

The lowest E belongs to which entry?
NaSmRhPb